No. 1
VASP calculation (PBE) on an optimized crystal structure of AgHgS.

abc: 3.977 3.977 4.723
angles: 90.00 90.00 120.00
Fractional positions:
Ag 0.000 0.000 0.000
Hg 0.333 0.667 0.618
S 0.667 0.333 0.274

Density ... 8.74 g/cm³
E ... -2.3191 eV/atom

=====

No. 2
VASP calculation (PBE) on an optimized crystal structure of AgHgS.

abc: 4.550 6.475 6.529
angles: 119.65 94.75 103.03
Fractional positions:
Ag 0.193 0.493 0.200
Ag 0.807 0.507 0.800
Hg 0.026 0.044 0.230
Hg 0.974 0.956 0.770
S 0.236 0.329 0.686
S 0.764 0.671 0.314

Density ... 7.13 g/cm³
E ... -2.4206 eV/atom

=====

No. 3
VASP calculation (PBE) on an optimized crystal structure of Ag12HgS6.

abc: 8.408 8.408 8.408
angles: 58.37 58.37 58.37
Fractional positions:
Ag 0.075 0.791 0.630
Ag 0.206 0.618 0.333
Ag 0.209 0.370 0.925
Ag 0.333 0.206 0.618
Ag 0.370 0.925 0.209
Ag 0.382 0.667 0.794
Ag 0.618 0.333 0.206
Ag 0.630 0.075 0.791
Ag 0.667 0.794 0.382
Ag 0.791 0.630 0.075
Ag 0.794 0.382 0.667
Ag 0.925 0.209 0.370
Hg 0.000 0.000 0.000
S 0.024 0.486 0.710
S 0.290 0.976 0.514
S 0.486 0.710 0.024
S 0.514 0.290 0.976
S 0.710 0.024 0.486
S 0.976 0.514 0.290

Density ... 6.93 g/cm³
E ... -3.1330 eV/atom

=====

No. 4
VASP calculation (PBE) on an optimized crystal structure of AgHg3S.

abc: 5.320 5.320 5.320
angles: 90.00 90.00 90.00
Fractional positions:
Ag 0.000 0.000 0.000
Hg 0.000 0.500 0.500
Hg 0.500 0.000 0.500
Hg 0.500 0.500 0.000
S 0.500 0.500 0.500

Density ... 8.18 g/cm³
E ... -1.1122 eV/atom